Record 1
Computed, not measured: crystalline Li2Er5Pb5 at its relaxed geometry at the PBE-GGA level of DFT.

Cell: 4.6602 8.4803 8.6619 Å, 75.55 74.39 74.05°
Fractional positions:
Li  0.8531  0.5322  0.7617
Li  0.1469  0.4678  0.2383
Er  0.5000  0.5000  0.5000
Er  0.3976  0.2830  0.9217
Er  0.3136  0.0443  0.3286
Er  0.6864  0.9557  0.6714
Er  0.6024  0.7170  0.0783
Pb  0.9347  0.7603  0.3702
Pb  0.2513  0.6836  0.8137
Pb  0.7487  0.3164  0.1863
Pb  0.0653  0.2397  0.6298
Pb  0.0000  0.0000  0.0000

Values from the calculation:
Energy above the lowest structure with this stoichiometry   0.000 eV/f.u.
Density   10.1 Mg/m³
Uncorrected energy   -0.30846 Ry per atom
D(E_F)   4.5 states/eV/cell


Record 2
Computed, not measured: crystalline LaHoThCd at its relaxed geometry at the PBE-GGA level of DFT.

Cell: 3.6386 3.6386 9.0937 Å, 90.00 90.00 90.00°
Fractional positions:
La  0.0000  0.0000  0.0837
Ho  0.0000  0.0000  0.5526
Th  0.5000  0.5000  0.8109
Cd  0.5000  0.5000  0.3375

Values from the calculation:
Energy above the lowest structure with this stoichiometry   0.000 eV/f.u.
Density   8.9 Mg/m³
Uncorrected energy   -0.34027 Ry per atom
D(E_F)   3.9 states/eV/cell


Record 3
Computed, not measured: crystalline KPSBr2 at its relaxed geometry at the PBE-GGA level of DFT.

Cell: 5.2810 6.0738 5.2810 Å, 90.00 90.00 90.00°
Fractional positions:
P  0.5000  0.5000  0.5000
K  0.0000  0.5000  0.0000
S  0.0000  0.0000  0.0000
Br  0.0000  0.0000  0.5000
Br  0.5000  0.0000  0.0000

Values from the calculation:
Formation energy from raw total energies   0.263 eV/atom
Density   2.6 Mg/m³
Uncorrected energy   -0.18619 Ry per atom
D(E_F)   1.7 states/eV/cell


Record 4
Computed, not measured: crystalline Pa2Fe2Au at its relaxed geometry at the PBE-GGA level of DFT.

Cell: 3.4570 7.2171 7.2171 Å, 90.00 90.00 90.00°
Fractional positions:
Pa  0.0000  0.6701  0.3299
Pa  0.0000  0.8299  0.8299
Pa  0.0000  0.1701  0.1701
Pa  0.0000  0.3299  0.6701
Fe  0.5000  0.3629  0.3629
Fe  0.5000  0.8629  0.1371
Fe  0.5000  0.1371  0.8629
Fe  0.5000  0.6371  0.6371
Au  0.5000  0.5000  0.0000
Au  0.5000  0.0000  0.5000

Values from the calculation:
Density   14.2 Mg/m³
Uncorrected energy   -0.59937 Ry per atom
D(E_F)   11.1 states/eV/cell